Entry from the Alexandria database: an optimized crystal structure of MoSCl2O (GGA+U).

Computed properties:
Total energy (eV/cell): -16.8
Space-group type: P4/mmm
Density of states at the Fermi level (states/eV per atom): 2.094
Mass density (g/cm³): 3.29
Crystal system: tetragonal
ΔE to the lowest computed polymorph (meV per atom): 9
Total magnetic moment (μB/cell): 0.3

Unit cell a=4.8503 b=4.8503 c=4.6142 alpha=90.00 beta=90.00 gamma=90.00
Fractional positions:
Mo  0.0000  0.0000  0.0000
S  0.0000  0.0000  0.5000
O  0.5000  0.5000  0.5000
Cl  0.0000  0.5000  0.0000
Cl  0.5000  0.0000  0.0000